[1]
Here is an optimized crystal structure of MgAg2Au2 from the Alexandria database. Energies are from GGA-PBE.

extended XYZ file:
```
10
Lattice="7.2996 0.0000 0.0000 0.0000 7.2996 0.0000 0.0000 0.0000 3.6166" Properties=species:S:1:pos:R:3 pbc="T T T"
Mg 0.0000 0.0000 0.0000
Mg 3.6498 3.6498 0.0000
Ag 0.9872 2.6627 0.0000
Ag 2.6627 6.3125 0.0000
Ag 4.6370 0.9872 0.0000
Ag 6.3125 4.6370 0.0000
Au 1.2046 4.8544 1.8083
Au 2.4452 1.2046 1.8083
Au 4.8544 6.0951 1.8083
Au 6.0951 2.4452 1.8083
```

Summary:
Formation energy from the elements (eV/atom): -0.09
Energy above the most stable polymorph in this dataset (eV/f.u.): 0.85
Crystal system: tetragonal

[2]
Here is an optimized crystal structure of TeBr from the Alexandria database. Energies are from GGA-PBE.

extended XYZ file:
```
8
Lattice="8.5417 0.0000 0.0000 0.0000 8.5417 0.0000 0.0000 0.0000 5.5576" Properties=species:S:1:pos:R:3 pbc="T T T"
Te 0.9685 0.9685 0.0000
Te 3.3023 5.2394 2.7788
Te 5.2394 3.3023 2.7788
Te 7.5732 7.5732 0.0000
Br 1.2405 1.2405 2.7788
Br 3.0303 5.5114 0.0000
Br 5.5114 3.0303 0.0000
Br 7.3012 7.3012 2.7788
```

Summary:
Crystal system: tetragonal
E_form (uncorrected) (meV per atom): -10

[3]
Here is an optimized crystal structure of LiCuO from the Alexandria database. Energies are from GGA-PBE.

extended XYZ file:
```
6
Lattice="2.0857 -2.0862 0.0000 2.0857 2.0862 0.0000 0.0000 0.0000 7.3553" Properties=species:S:1:pos:R:3 pbc="T T T"
Li 2.0857 2.0692 5.5165
Li 2.0857 -2.0692 1.8388
Cu 2.0857 0.0000 0.0000
Cu 2.0857 0.0000 3.6777
O 2.0857 0.0254 1.8388
O 2.0857 -0.0254 5.5165
```

Summary:
Crystal system: orthorhombic
E_form (uncorrected) (meV per atom): -1080

[4]
Here is an optimized crystal structure of TlAsPO2 from the Alexandria database. Energies are from GGA-PBE.

extended XYZ file:
```
5
Lattice="4.0958 0.0000 0.0000 0.0000 4.0958 0.0000 0.0000 0.0000 5.4456" Properties=species:S:1:pos:R:3 pbc="T T T"
Tl 0.0000 0.0000 0.0000
As 2.0479 2.0479 2.7228
P 0.0000 0.0000 2.7228
O 0.0000 2.0479 0.0000
O 2.0479 0.0000 0.0000
```

Summary:
Energy above the most stable polymorph in this dataset (eV/f.u.): 4.66
Crystal system: tetragonal
E_form (uncorrected) (meV per atom): 659

[5]
Here is an optimized crystal structure of Y3AgHg5 from the Alexandria database. Energies are from GGA-PBE.

extended XYZ file:
```
18
Lattice="8.9646 0.0000 0.0000 -4.4823 7.7636 0.0000 0.0000 0.0000 6.2452" Properties=species:S:1:pos:R:3 pbc="T T T"
Y -1.5707 2.7206 1.5613
Y -2.9116 5.0430 4.6839
Y 3.1414 0.0000 1.5613
Y 1.5707 2.7206 4.6839
Y 5.8232 0.0000 4.6839
Y 2.9116 5.0430 1.5613
Ag 0.0000 0.0000 0.0000
Ag 0.0000 0.0000 3.1226
Hg -1.3928 2.4123 4.6839
Hg -3.0896 5.3513 1.5613
Hg 2.7855 0.0000 4.6839
Hg 1.3928 2.4123 1.5613
Hg 0.0000 5.1757 0.0000
Hg 0.0000 5.1757 3.1226
Hg 4.4823 2.5879 0.0000
Hg 4.4823 2.5879 3.1226
Hg 6.1791 0.0000 1.5613
Hg 3.0896 5.3513 4.6839
```

Summary:
Formation energy from the elements (eV/atom): -0.40
Crystal system: hexagonal

[6]
Here is an optimized crystal structure of Si2MoAu from the Alexandria database. Energies are from GGA-PBE.

extended XYZ file:
```
4
Lattice="2.8607 0.0000 0.0000 0.0000 4.7306 0.0000 0.0000 0.0000 4.4904" Properties=species:S:1:pos:R:3 pbc="T T T"
Si 0.0000 0.0000 0.0000
Si 1.4304 2.3653 1.0653
Mo 1.4304 0.0000 2.1983
Au 0.0000 2.3653 3.3245
```

Summary:
Energy above the most stable polymorph in this dataset (eV/f.u.): 0.27
Crystal system: orthorhombic
E_form (uncorrected) (meV per atom): 4

[7]
Here is an optimized crystal structure of NaTlSn from the Alexandria database. Energies are from GGA-PBE.

extended XYZ file:
```
6
Lattice="4.9996 0.0000 0.0000 -2.4998 4.3298 0.0000 0.0000 0.0000 8.0990" Properties=species:S:1:pos:R:3 pbc="T T T"
Na 0.0000 0.0000 0.0000
Na 0.0000 0.0000 4.0495
Tl 0.0000 2.8865 2.5267
Tl 2.4998 1.4433 6.5762
Sn 0.0000 2.8865 5.6656
Sn 2.4998 1.4433 1.6161
```

Summary:
Formation energy from the elements (eV/atom): -0.09
Crystal system: hexagonal

[8]
Here is an optimized crystal structure of ThAl3Au3 from the Alexandria database. Energies are from GGA-PBE.

extended XYZ file:
```
14
Lattice="6.9246 0.0000 0.0000 0.0000 4.5588 0.0000 -2.7445 0.0000 8.7154" Properties=species:S:1:pos:R:3 pbc="T T T"
Th 0.2160 1.1397 2.5712
Th 3.9641 3.4191 6.1442
Al -1.7219 1.1397 8.0776
Al 0.9328 3.4191 7.5552
Al 1.6018 1.1397 5.7581
Al 2.5782 3.4191 2.9573
Al 3.2472 1.1397 1.1602
Al 5.9020 3.4191 0.6378
Au -1.0442 1.1397 5.5678
Au 1.6901 3.4191 0.4908
Au 0.7237 3.4191 4.8902
Au 3.4564 1.1397 3.8252
Au 2.4899 1.1397 8.2246
Au 5.2242 3.4191 3.1476
```

Summary:
Formation energy from the elements (eV/atom): -0.57
Energy above the most stable polymorph in this dataset (eV/f.u.): 0.00
Crystal system: monoclinic

[9]
Here is an optimized crystal structure of Sb3PPd from the Alexandria database. Energies are from GGA-PBE.

extended XYZ file:
```
5
Lattice="5.1071 0.0000 0.0000 0.0000 5.1071 0.0000 0.0000 0.0000 5.1071" Properties=species:S:1:pos:R:3 pbc="T T T"
Sb 0.0000 0.0000 2.5535
Sb 0.0000 2.5535 0.0000
Sb 2.5535 0.0000 0.0000
P 0.0000 0.0000 0.0000
Pd 2.5535 2.5535 2.5535
```

Summary:
Energy above the most stable polymorph in this dataset (eV/f.u.): 0.13
Crystal system: cubic
E_form (uncorrected) (meV per atom): 706

[10]
Here is an optimized crystal structure of KCa4Mo from the Alexandria database. Energies are from GGA-PBE.

extended XYZ file:
```
6
Lattice="0.0000 4.9814 4.9814 4.9814 0.0000 4.9814 4.9814 4.9814 0.0000" Properties=species:S:1:pos:R:3 pbc="T T T"
K 0.0000 0.0000 0.0000
Ca 3.7451 3.7451 3.7451
Ca 6.2177 6.2177 3.7451
Ca 6.2177 3.7451 6.2177
Ca 3.7451 6.2177 6.2177
Mo 7.4721 7.4721 7.4721
```

Summary:
Formation energy from the elements (eV/atom): 0.89
Crystal system: cubic

[11]
Here is an optimized crystal structure of Sr3BiPb from the Alexandria database. Energies are from GGA-PBE.

extended XYZ file:
```
10
Lattice="9.0076 -2.3627 0.0000 9.0076 2.3627 0.0000 -0.6761 0.0000 9.6036" Properties=species:S:1:pos:R:3 pbc="T T T"
Sr 0.7540 0.0000 1.6767
Sr 3.7408 0.0000 7.8636
Sr 6.8749 0.0000 3.9749
Sr 10.4642 0.0000 5.6287
Sr 13.5982 0.0000 1.7400
Sr 16.5850 0.0000 7.9269
Bi 6.9993 0.0000 0.6269
Bi 10.3398 0.0000 8.9768
Pb 3.2899 0.0000 4.1399
Pb 14.0491 0.0000 5.4637
```

Summary:
Formation energy from the elements (eV/atom): -0.61
Energy above the most stable polymorph in this dataset (eV/f.u.): 0.41
Crystal system: monoclinic

[12]
Here is an optimized crystal structure of DyInCoRh from the Alexandria database. Energies are from GGA-PBE.

extended XYZ file:
```
4
Lattice="0.0000 3.2735 3.2735 3.2735 0.0000 3.2735 3.2735 3.2735 0.0000" Properties=species:S:1:pos:R:3 pbc="T T T"
Dy 0.0000 0.0000 0.0000
In 3.2735 3.2735 3.2735
Co 1.6368 1.6368 1.6368
Rh 4.9103 4.9103 4.9103
```

Summary:
Formation energy from the elements (eV/atom): -0.42
Crystal system: cubic